Entry 1:
The following is a DFT calculation (PBE-GGA) of crystalline Rb3LiF4 at its relaxed geometry.

Unit cell a=8.590 b=7.417 c=5.815 alpha=90.00 beta=90.00 gamma=90.00
Fractional positions:
Rb 0.000 0.127 0.000
Rb 0.234 0.330 0.499
Rb 0.266 0.670 0.999
Rb 0.500 0.873 0.500
Rb 0.734 0.670 0.999
Rb 0.766 0.330 0.499
Li 0.000 0.818 0.452
Li 0.500 0.182 0.952
F 0.000 0.079 0.518
F 0.000 0.791 0.128
F 0.204 0.699 0.530
F 0.296 0.301 0.030
F 0.500 0.209 0.628
F 0.500 0.921 0.018
F 0.704 0.301 0.030
F 0.796 0.699 0.530

E above lowest polymorph (meV/atom): 37
Raw formation energy (meV per atom): -2660
V (Å³ per cell): 370.46
D(E_F) (states/eV/cell): 0.0
Magnetization (μB per cell): 0.51
SG: Pmn2_1, No. 31
Raw total energy (eV/atom): -4.198


Entry 2:
The following is a DFT calculation (PBE-GGA) of crystalline K3Tm2CrSe6 at its relaxed geometry.

Unit cell a=7.025 b=7.025 c=8.002 alpha=98.46 beta=98.46 gamma=120.04
Fractional positions:
K 0.000 0.000 0.000
K 0.329 0.671 0.000
K 0.671 0.329 0.000
Tm 0.166 0.834 0.500
Tm 0.834 0.166 0.500
Cr 0.500 0.500 0.500
Se 0.123 0.435 0.305
Se 0.254 0.254 0.696
Se 0.435 0.123 0.305
Se 0.565 0.877 0.695
Se 0.746 0.746 0.304
Se 0.877 0.565 0.695

Raw formation energy (meV per atom): -1409
V (Å³ per cell): 326.71
Magnetization (μB per cell): 3.01
SG: C2/m, No. 12
Raw total energy (eV/atom): -4.973


Entry 3:
The following is a DFT calculation (PBE-GGA) of crystalline TbZnSnPt at its relaxed geometry.

Unit cell a=6.865 b=6.865 c=6.865 alpha=90.00 beta=90.00 gamma=90.00
Fractional positions:
Tb 0.000 0.000 0.000
Tb 0.000 0.500 0.500
Tb 0.500 0.000 0.500
Tb 0.500 0.500 0.000
Zn 0.250 0.250 0.250
Zn 0.250 0.750 0.750
Zn 0.750 0.250 0.750
Zn 0.750 0.750 0.250
Sn 0.000 0.000 0.500
Sn 0.000 0.500 0.000
Sn 0.500 0.000 0.000
Sn 0.500 0.500 0.500
Pt 0.250 0.250 0.750
Pt 0.250 0.750 0.250
Pt 0.750 0.250 0.250
Pt 0.750 0.750 0.750

V (Å³ per cell): 323.51
D(E_F) (states/eV/cell): 8.5
Magnetization (μB per cell): 0.00
SG: F-43m, No. 216
Raw total energy (eV/atom): -4.665
Energy of formation from the pure elements (meV per atom): -678


Entry 4:
The following is a DFT calculation (PBE-GGA) of crystalline Mg2CdGa8 at its relaxed geometry.

Unit cell a=4.148 b=4.148 c=12.695 alpha=90.00 beta=90.00 gamma=90.00
Fractional positions:
Mg 0.000 0.000 0.164
Mg 0.000 0.000 0.836
Cd 0.000 0.000 0.500
Ga 0.000 0.500 0.000
Ga 0.000 0.500 0.334
Ga 0.000 0.500 0.666
Ga 0.500 0.000 0.000
Ga 0.500 0.000 0.334
Ga 0.500 0.000 0.666
Ga 0.500 0.500 0.169
Ga 0.500 0.500 0.831

V (Å³ per cell): 218.42
D(E_F) (states/eV/cell): 4.6
Magnetization (μB per cell): 0.00
SG: P4/mmm, No. 123
Raw total energy (eV/atom): -2.603
Energy of formation from the pure elements (meV per atom): -28


Entry 5:
The following is a DFT calculation (PBE-GGA) of crystalline Y4HgRh at its relaxed geometry.

Unit cell a=6.080 b=6.080 c=6.080 alpha=60.00 beta=60.00 gamma=60.00
Fractional positions:
Y 0.376 0.376 0.376
Y 0.376 0.376 0.872
Y 0.376 0.872 0.376
Y 0.872 0.376 0.376
Hg 0.000 0.000 0.000
Rh 0.750 0.750 0.750

E above lowest polymorph (meV/atom): 1010
V (Å³ per cell): 158.92
D(E_F) (states/eV/cell): 8.9
Magnetization (μB per cell): 0.00
SG: F-43m, No. 216
Raw total energy (eV/atom): -5.115
Energy of formation from the pure elements (meV per atom): 470


Entry 6:
The following is a DFT calculation (PBE-GGA) of crystalline MnRuPt at its relaxed geometry.

Unit cell a=5.747 b=5.747 c=5.747 alpha=90.00 beta=90.00 gamma=90.00
Fractional positions:
Mn 0.000 0.000 0.000
Mn 0.000 0.500 0.500
Mn 0.500 0.000 0.500
Mn 0.500 0.500 0.000
Ru 0.250 0.250 0.750
Ru 0.250 0.750 0.250
Ru 0.750 0.250 0.250
Ru 0.750 0.750 0.750
Pt 0.250 0.250 0.250
Pt 0.250 0.750 0.750
Pt 0.750 0.250 0.750
Pt 0.750 0.750 0.250

E above lowest polymorph (meV/atom): 279
V (Å³ per cell): 189.84
D(E_F) (states/eV/cell): 13.8
Magnetization (μB per cell): 8.45
SG: F-43m, No. 216
Raw total energy (eV/atom): -7.944
Energy of formation from the pure elements (meV per atom): 218


Entry 7:
The following is a DFT calculation (PBE-GGA) of crystalline FeSb3Br at its relaxed geometry.

Unit cell a=5.004 b=5.004 c=5.004 alpha=90.00 beta=90.00 gamma=90.00
Fractional positions:
Fe 0.000 0.000 0.000
Sb 0.000 0.000 0.500
Sb 0.000 0.500 0.000
Sb 0.500 0.000 0.000
Br 0.500 0.500 0.500

E above lowest polymorph (meV/atom): 0
Raw formation energy (meV per atom): 298
V (Å³ per cell): 125.28
D(E_F) (states/eV/cell): 5.4
Magnetization (μB per cell): 0.01
SG: Pm-3m, No. 221
Raw total energy (eV/atom): -4.203


Entry 8:
The following is a DFT calculation (PBE-GGA) of crystalline Cs2CrCl6 at its relaxed geometry.

Unit cell a=7.334 b=7.334 c=12.212 alpha=90.00 beta=90.00 gamma=120.00
Fractional positions:
Cs 0.000 0.000 0.000
Cs 0.000 0.000 0.500
Cs 0.333 0.667 0.253
Cs 0.667 0.333 0.753
Cr 0.333 0.667 0.629
Cr 0.667 0.333 0.129
Cl 0.037 0.519 0.518
Cl 0.184 0.367 0.736
Cl 0.184 0.816 0.736
Cl 0.367 0.184 0.236
Cl 0.481 0.519 0.518
Cl 0.481 0.963 0.518
Cl 0.519 0.037 0.018
Cl 0.519 0.481 0.018
Cl 0.633 0.816 0.736
Cl 0.816 0.184 0.236
Cl 0.816 0.633 0.236
Cl 0.963 0.481 0.018

Raw formation energy (meV per atom): -1437
V (Å³ per cell): 568.80
D(E_F) (states/eV/cell): 20.6
Magnetization (μB per cell): 3.98
SG: P6_3mc, No. 186
Raw total energy (eV/atom): -3.927


Entry 9:
The following is a DFT calculation (PBE-GGA) of crystalline YGaF3 at its relaxed geometry.

Unit cell a=4.492 b=4.492 c=4.492 alpha=90.00 beta=90.00 gamma=90.00
Fractional positions:
Y 0.000 0.000 0.000
Ga 0.500 0.500 0.500
F 0.000 0.000 0.500
F 0.000 0.500 0.000
F 0.500 0.000 0.000

E above lowest polymorph (meV/atom): 0
Raw formation energy (meV per atom): -2784
V (Å³ per cell): 90.65
D(E_F) (states/eV/cell): 3.9
Magnetization (μB per cell): 0.00
SG: Pm-3m, No. 221
Raw total energy (eV/atom): -5.805


Entry 10:
The following is a DFT calculation (PBE-GGA) of crystalline TcSbPb2 at its relaxed geometry.

Unit cell a=6.425 b=6.425 c=13.599 alpha=90.00 beta=90.00 gamma=90.00
Fractional positions:
Tc 0.000 0.000 0.000
Tc 0.000 0.500 0.250
Tc 0.500 0.000 0.750
Tc 0.500 0.500 0.500
Sb 0.000 0.000 0.500
Sb 0.000 0.500 0.750
Sb 0.500 0.000 0.250
Sb 0.500 0.500 0.000
Pb 0.201 0.250 0.125
Pb 0.250 0.701 0.375
Pb 0.250 0.799 0.875
Pb 0.299 0.250 0.625
Pb 0.701 0.750 0.625
Pb 0.750 0.201 0.875
Pb 0.750 0.299 0.375
Pb 0.799 0.750 0.125

Raw formation energy (meV per atom): 927
V (Å³ per cell): 561.38
D(E_F) (states/eV/cell): 29.7
Magnetization (μB per cell): 3.97
SG: I-42d, No. 122
Raw total energy (eV/atom): -4.549


Entry 11:
The following is a DFT calculation (PBE-GGA) of crystalline SmBe3Os at its relaxed geometry.

Unit cell a=4.304 b=4.304 c=4.304 alpha=90.00 beta=90.00 gamma=90.00
Fractional positions:
Sm 0.000 0.000 0.000
Be 0.000 0.500 0.500
Be 0.500 0.000 0.500
Be 0.500 0.500 0.000
Os 0.500 0.500 0.500

V (Å³ per cell): 79.70
D(E_F) (states/eV/cell): 2.5
Magnetization (μB per cell): 0.00
SG: Pm-3m, No. 221
Raw total energy (eV/atom): -5.502
Energy of formation from the pure elements (meV per atom): -77


Entry 12:
The following is a DFT calculation (PBE-GGA) of crystalline Na2Eu2Ti3O10 at its relaxed geometry.

Unit cell a=14.569 b=14.569 c=14.569 alpha=164.77 beta=164.77 gamma=21.60
Fractional positions:
Na 0.211 0.211 0.000
Na 0.789 0.789 0.000
Eu 0.075 0.075 0.000
Eu 0.925 0.925 0.000
Ti 0.353 0.353 0.000
Ti 0.500 0.500 0.000
Ti 0.647 0.647 0.000
O 0.000 0.500 0.500
O 0.133 0.633 0.500
O 0.292 0.292 0.000
O 0.367 0.867 0.500
O 0.432 0.432 0.000
O 0.500 0.000 0.500
O 0.568 0.568 0.000
O 0.633 0.133 0.500
O 0.708 0.708 0.000
O 0.867 0.367 0.500

Raw formation energy (meV per atom): -2748
V (Å³ per cell): 213.24
D(E_F) (states/eV/cell): 11.6
Magnetization (μB per cell): 11.98
SG: I4/mmm, No. 139
Raw total energy (eV/atom): -8.421


Entry 13:
The following is a DFT calculation (PBE-GGA) of crystalline Ac3LaMg4 at its relaxed geometry.

Unit cell a=4.082 b=4.082 c=16.316 alpha=90.00 beta=90.00 gamma=90.00
Fractional positions:
Ac 0.000 0.000 0.000
Ac 0.000 0.000 0.255
Ac 0.000 0.000 0.745
La 0.000 0.000 0.500
Mg 0.500 0.500 0.127
Mg 0.500 0.500 0.385
Mg 0.500 0.500 0.615
Mg 0.500 0.500 0.873

V (Å³ per cell): 271.92
D(E_F) (states/eV/cell): 10.6
Magnetization (μB per cell): 0.00
SG: P4/mmm, No. 123
Raw total energy (eV/atom): -3.040
Energy of formation from the pure elements (meV per atom): -86


Entry 14:
The following is a DFT calculation (PBE-GGA) of crystalline Fe2SiPdAu at its relaxed geometry.

Unit cell a=4.814 b=4.814 c=4.481 alpha=90.00 beta=90.00 gamma=90.00
Fractional positions:
Fe 0.000 0.500 0.000
Fe 0.500 0.000 0.000
Si 0.000 0.000 0.500
Pd 0.500 0.500 0.500
Au 0.000 0.000 0.000

Raw formation energy (meV per atom): 1151
V (Å³ per cell): 103.83
D(E_F) (states/eV/cell): 6.5
Magnetization (μB per cell): 6.89
SG: P4/mmm, No. 123
Raw total energy (eV/atom): -5.012


Entry 15:
The following is a DFT calculation (PBE-GGA) of crystalline Ac4TeAs2Se at its relaxed geometry.

Unit cell a=6.476 b=6.476 c=12.955 alpha=90.00 beta=90.00 gamma=90.00
Fractional positions:
Ac 0.000 0.000 0.239
Ac 0.000 0.000 0.761
Ac 0.000 0.500 0.006
Ac 0.000 0.500 0.494
Ac 0.500 0.000 0.506
Ac 0.500 0.000 0.994
Ac 0.500 0.500 0.261
Ac 0.500 0.500 0.739
Te 0.000 0.000 0.500
Te 0.500 0.500 0.000
As 0.000 0.000 0.000
As 0.000 0.500 0.250
As 0.500 0.000 0.750
As 0.500 0.500 0.500
Se 0.000 0.500 0.750
Se 0.500 0.000 0.250

Raw formation energy (meV per atom): -1617
V (Å³ per cell): 543.38
D(E_F) (states/eV/cell): 5.1
Magnetization (μB per cell): 0.00
SG: I-4m2, No. 119
Raw total energy (eV/atom): -5.662


Entry 16:
The following is a DFT calculation (PBE-GGA) of crystalline HoErNi2P2 at its relaxed geometry.

Unit cell a=3.871 b=3.871 c=7.714 alpha=90.00 beta=90.00 gamma=120.00
Fractional positions:
Ho 0.000 0.000 0.000
Er 0.000 0.000 0.500
Ni 0.333 0.667 0.749
Ni 0.667 0.333 0.251
P 0.333 0.667 0.251
P 0.667 0.333 0.749

V (Å³ per cell): 100.09
D(E_F) (states/eV/cell): 2.8
Magnetization (μB per cell): 0.00
SG: P-3m1, No. 164
Raw total energy (eV/atom): -6.475
Energy of formation from the pure elements (meV per atom): -1221


Entry 17:
The following is a DFT calculation (PBE-GGA) of crystalline GaBiRh3 at its relaxed geometry.

Unit cell a=4.970 b=4.970 c=4.970 alpha=90.00 beta=90.00 gamma=90.00
Fractional positions:
Ga 0.000 0.000 0.000
Bi 0.500 0.500 0.500
Rh 0.000 0.500 0.500
Rh 0.500 0.000 0.500
Rh 0.500 0.500 0.000

E above lowest polymorph (meV/atom): 814
V (Å³ per cell): 122.79
D(E_F) (states/eV/cell): 12.7
Magnetization (μB per cell): 0.00
SG: Pm-3m, No. 221
Raw total energy (eV/atom): -4.590
Energy of formation from the pure elements (meV per atom): 1203


Entry 18:
The following is a DFT calculation (PBE-GGA) of crystalline Li6Pd5Pt at its relaxed geometry.

Unit cell a=7.293 b=7.293 c=4.219 alpha=106.65 beta=106.65 gamma=119.74
Fractional positions:
Li 0.084 0.416 0.750
Li 0.249 0.249 0.249
Li 0.416 0.084 0.750
Li 0.584 0.916 0.250
Li 0.751 0.751 0.751
Li 0.916 0.584 0.250
Pd 0.166 0.834 0.000
Pd 0.332 0.668 0.500
Pd 0.500 0.500 0.000
Pd 0.668 0.332 0.500
Pd 0.834 0.166 0.000
Pt 0.000 0.000 0.500

V (Å³ per cell): 159.94
D(E_F) (states/eV/cell): 6.6
Magnetization (μB per cell): 0.00
SG: C2/m, No. 12
Raw total energy (eV/atom): -4.046
Energy of formation from the pure elements (meV per atom): -422


Entry 19:
The following is a DFT calculation (PBE-GGA) of crystalline Pm2BiHN at its relaxed geometry.

Unit cell a=3.873 b=3.873 c=14.258 alpha=90.00 beta=90.00 gamma=90.00
Fractional positions:
Pm 0.000 0.000 0.161
Pm 0.000 0.000 0.839
Pm 0.500 0.500 0.339
Pm 0.500 0.500 0.661
Bi 0.000 0.000 0.500
Bi 0.500 0.500 0.000
H 0.000 0.500 0.750
H 0.500 0.000 0.250
N 0.000 0.500 0.250
N 0.500 0.000 0.750

V (Å³ per cell): 213.92
D(E_F) (states/eV/cell): 3.0
Magnetization (μB per cell): 0.00
SG: I-4m2, No. 119
Raw total energy (eV/atom): -6.018


Entry 20:
The following is a DFT calculation (PBE-GGA) of crystalline MnCo2Br2 at its relaxed geometry.

Unit cell a=7.224 b=7.224 c=3.292 alpha=90.00 beta=90.00 gamma=90.00
Fractional positions:
Mn 0.000 0.000 0.000
Mn 0.500 0.500 0.000
Co 0.115 0.385 0.500
Co 0.385 0.885 0.500
Co 0.615 0.115 0.500
Co 0.885 0.615 0.500
Br 0.192 0.692 0.000
Br 0.308 0.192 0.000
Br 0.692 0.808 0.000
Br 0.808 0.308 0.000

E above lowest polymorph (meV/atom): 0
Raw formation energy (meV per atom): 738
V (Å³ per cell): 171.79
D(E_F) (states/eV/cell): 11.6
Magnetization (μB per cell): 14.42
SG: P4/mbm, No. 127
Raw total energy (eV/atom): -4.608